1.
Al2InPd2: optimized geometry, PBE-GGA.

POSCAR file:
```
Al2InPd2
1.0
-2.735 1.182 -3.261
0.654 -4.277 0.893
-4.001 0.097 3.391
Pd Al In
2 2 1
Direct
0.333 0.667 0.673
0.667 0.333 0.327
0.333 0.667 0.148
0.667 0.333 0.852
0.000 0.000 0.500
```

## Properties
- energy (eV/atom) = -4.709


2.
Zr3Al2InPdPt2: optimized geometry, PBE-GGA.

POSCAR file:
```
Zr3Al2InPdPt2
1.0
3.625 0.000 0.000
0.000 6.274 3.675
0.000 -6.274 3.675
Al Zr Pt Pd In
2 3 2 1 1
Direct
0.500 0.739 0.999
0.500 0.999 0.739
0.000 0.996 0.404
0.000 0.601 0.601
0.000 0.404 0.996
0.500 0.681 0.338
0.500 0.338 0.681
0.000 0.983 0.983
0.500 0.260 0.260
```

## Properties
- energy (eV/atom) = -6.794
- size of the total moment (μB/atom) = 0.0008


3.
Ta2AlInPd2: optimized geometry, PBE-GGA.

POSCAR file:
```
Ta2AlInPd2
1.0
-7.142 -4.337 6.557
3.177 -1.103 2.731
1.379 10.239 2.530
Pd In Al Ta
8 4 4 8
Direct
0.131 0.500 0.373
0.633 0.500 0.883
0.252 0.000 0.741
0.002 0.000 0.009
0.492 0.000 0.492
0.373 0.500 0.131
0.742 0.000 0.242
0.874 0.500 0.624
0.875 0.500 0.373
0.375 0.500 0.876
0.624 0.500 0.626
0.002 0.000 0.753
0.125 0.500 0.126
0.499 0.000 0.249
0.250 0.000 0.498
0.751 0.000 0.001
0.878 0.500 0.881
0.127 0.500 0.621
0.251 0.000 0.005
0.373 0.500 0.373
0.502 0.000 0.750
0.623 0.500 0.125
0.746 0.000 0.496
0.002 0.000 0.250
```

## Properties
- energy (eV/atom) = -6.918
- size of the total moment (μB/atom) = 0.0003


4.
Tb2AlInPd4: optimized geometry, PBE-GGA.

POSCAR file:
```
Tb2AlInPd4
1.0
4.508 0.000 0.000
-2.254 3.904 0.000
0.000 0.000 9.022
Pd Tb In Al
4 2 1 1
Direct
0.333 0.667 0.923
0.667 0.333 0.077
0.333 0.667 0.590
0.667 0.333 0.410
0.667 0.333 0.753
0.333 0.667 0.247
0.000 0.000 0.500
0.000 0.000 0.000
```

## Properties
- energy (eV/atom) = -5.421
- size of the total moment (μB/atom) = 0.0007


5.
Y2AlInPd4: optimized geometry, PBE-GGA.

POSCAR file:
```
Y2AlInPd4
1.0
-1.953 -4.008 0.109
2.007 1.602 3.646
-7.819 3.881 2.599
Y In Pd Al
2 1 4 1
Direct
0.333 0.667 0.246
0.667 0.333 0.754
0.000 0.000 0.500
0.667 0.333 0.078
0.667 0.333 0.408
0.333 0.667 0.922
0.333 0.667 0.592
0.000 0.000 0.000
```

## Properties
- energy (eV/atom) = -5.880
- size of the total moment (μB/atom) = 0.0023


6.
PrAlIn: optimized geometry, PBE-GGA.

POSCAR file:
```
PrAlIn
1.0
4.679 -0.826 1.057
1.182 -3.175 3.496
2.044 -4.260 -1.171
Pr In Al
1 1 1
Direct
0.750 0.750 0.750
0.250 0.250 0.250
0.000 0.000 0.000
```

## Properties
- energy (eV/atom) = -4.011
- size of the total moment (μB/atom) = 0.0005


7.
PrAl2In: optimized geometry, PBE-GGA.

POSCAR file:
```
PrAl2In
1.0
4.753 0.000 0.000
0.000 5.814 3.363
0.000 -5.814 3.363
In Al Pr
2 4 2
Direct
0.250 0.143 0.301
0.750 0.301 0.143
0.750 0.844 0.129
0.250 0.717 0.855
0.250 0.129 0.844
0.750 0.855 0.717
0.750 0.338 0.674
0.250 0.674 0.338
```

## Properties
- energy (eV/atom) = -4.144
- ΔE to the lowest computed polymorph (eV per atom) = 0.002
- size of the total moment (μB/atom) = 0.0014


8.
PrAlIn2: optimized geometry, PBE-GGA.

POSCAR file:
```
PrAlIn2
1.0
4.944 0.000 0.000
0.000 3.401 5.878
0.000 -3.401 5.878
Al In Pr
2 4 2
Direct
0.000 0.714 0.139
0.000 0.139 0.714
0.500 0.308 0.838
0.500 0.838 0.308
0.500 0.847 0.847
0.000 0.152 0.152
0.000 0.666 0.666
0.500 0.336 0.336
```

## Properties
- energy (eV/atom) = -3.888
- size of the total moment (μB/atom) = 0.0012